[1]
# Ac2SnBiRh6 (GGA-PBE, relaxed)
data_Ac2SnBiRh6
_chemical_formula_sum 'Ac2 Sn1 Bi1 Rh6'
_symmetry_space_group_name_H-M 'P -1'
_symmetry_Int_Tables_number 2
_cell_length_a 5.769
_cell_length_b 6.780
_cell_length_c 6.861
_cell_angle_alpha 77.53
_cell_angle_beta 65.38
_cell_angle_gamma 65.34
loop_
_symmetry_equiv_pos_as_xyz
'x,y,z'
'-x,-y,-z'
loop_
_atom_site_label
_atom_site_type_symbol
_atom_site_fract_x
_atom_site_fract_y
_atom_site_fract_z
_atom_site_occupancy
Ac1 Ac 0.029 0.207 0.216 1
Sn1 Sn 0.500 0.000 0.500 1
Bi1 Bi 0.500 0.500 0.000 1
Rh1 Rh 0.004 0.263 0.733 1
Rh2 Rh 0.359 0.434 0.437 1
Rh3 Rh 0.499 0.222 0.774 1
# DOS at the Fermi energy   6.5 states/eV/f.u.


[2]
# HoURuRh (GGA-PBE, relaxed)
data_HoURuRh
_chemical_formula_sum 'Ho4 U4 Ru4 Rh4'
_symmetry_space_group_name_H-M 'F -4 3 m'
_symmetry_Int_Tables_number 216
_symmetry_space_group_name_Hall 'F -4 2 3'
_cell_length_a 6.798
_cell_length_b 6.798
_cell_length_c 6.798
_cell_angle_alpha 90.00
_cell_angle_beta 90.00
_cell_angle_gamma 90.00
loop_
_atom_site_label
_atom_site_type_symbol
_atom_site_fract_x
_atom_site_fract_y
_atom_site_fract_z
_atom_site_occupancy
Ho1 Ho 0.000 0.000 0.000 1
U1 U 0.000 0.000 0.500 1
Ru1 Ru 0.250 0.250 0.250 1
Rh1 Rh 0.250 0.250 0.750 1
# DOS at the Fermi energy   8.1 states/eV/f.u.


[3]
# Th8OsRu3Se4 (GGA-PBE, relaxed)
data_Th8OsRu3Se4
_chemical_formula_sum 'Th24 Os3 Ru9 Se12'
_symmetry_space_group_name_H-M 'R -3 m'
_symmetry_Int_Tables_number 166
_symmetry_space_group_name_Hall '-R 3 2"'
_cell_length_a 8.2035
_cell_length_b 8.2035
_cell_length_c 22.1186
_cell_angle_alpha 90.00
_cell_angle_beta 90.00
_cell_angle_gamma 120.00
loop_
_atom_site_label
_atom_site_type_symbol
_atom_site_fract_x
_atom_site_fract_y
_atom_site_fract_z
_atom_site_occupancy
Th1 Th 0.0000 0.0000 0.2378 1
Th2 Th 0.0003 0.5002 0.2377 1
Os1 Os 0.0000 0.0000 0.5000 1
Ru1 Ru 0.0000 0.5000 0.5000 1
Se1 Se 0.0000 0.0000 0.0000 1
Se2 Se 0.0000 0.5000 0.0000 1
# DOS at the Fermi energy   6.7 states/eV/f.u.
# Formation energy (no corrections)   -1.06 eV per atom


[4]
# NaCoH4 (GGA-PBE, relaxed)
data_NaCoH4
_chemical_formula_sum 'Na2 Co2 H8'
_symmetry_space_group_name_H-M 'P 1 21/c 1'
_symmetry_Int_Tables_number 14
_cell_length_a 5.005
_cell_length_b 4.239
_cell_length_c 4.246
_cell_angle_alpha 90.00
_cell_angle_beta 90.10
_cell_angle_gamma 90.00
loop_
_symmetry_equiv_pos_as_xyz
'x,y,z'
'-x,-y,-z'
'-x,y+1/2,-z+1/2'
'x,-y+1/2,z+1/2'
loop_
_atom_site_label
_atom_site_type_symbol
_atom_site_fract_x
_atom_site_fract_y
_atom_site_fract_z
_atom_site_occupancy
Na1 Na 0.000 0.000 0.000 1
Co1 Co 0.500 0.000 0.500 1
H1 H 0.196 0.043 0.499 1
H2 H 0.390 0.747 0.253 1
# DOS at the Fermi energy   1.0 states/eV/f.u.
# Distance to the lowest polymorph of the same formula   59 meV/atom


no.,total moment (μB/cell),calculated total energy (hartree per atom)
1,0.00,-0.2370
2,8.11,-0.3133
3,0.00,-0.2969
4,0.00,-0.1334